VASP calculation (PBE-GGA) on Os3Ru after structural relaxation.

a b c (Å): 4.363 4.363 4.363
angles (deg): 60.00 60.00 60.00
Fractional coordinates of all 4 atoms:
1 Os 0.000 0.000 0.000
2 Os 0.250 0.250 0.250
3 Os 0.750 0.750 0.750
4 Ru 0.500 0.500 0.500

Computed properties:
As for the space-group type: Fm-3m (225). The calculation puts the density of states at the Fermi level at 3.6 states/eV/cell. The volume comes out at 59 Å³ per cell. Its calculated total energy is -39.852 eV/cell.

=====

VASP calculation (PBE-GGA) on OsRu5 after structural relaxation.

a b c (Å): 5.002 5.002 5.002
angles (deg): 60.00 60.00 60.00
Fractional coordinates of all 6 atoms:
1 Os 0.000 0.000 0.000
2 Ru 0.375 0.375 0.375
3 Ru 0.375 0.375 0.875
4 Ru 0.375 0.875 0.375
5 Ru 0.750 0.750 0.750
6 Ru 0.875 0.375 0.375

Computed properties:
As for the space-group type: F-43m (216). The calculation puts the density of states at the Fermi level at 10.9 states/eV/cell. The volume comes out at 88 Å³ per cell. Its calculated total energy is -53.561 eV/cell.

=====

VASP calculation (PBE-GGA) on Os5Ru after structural relaxation.

a b c (Å): 4.341 7.276 7.276
angles (deg): 21.79 90.00 90.00
Fractional coordinates of all 6 atoms:
1 Os 0.000 0.000 0.000
2 Os 0.000 0.333 0.333
3 Os 0.000 0.666 0.666
4 Os 0.500 0.444 0.444
5 Os 0.500 0.777 0.777
6 Ru 0.500 0.111 0.111

Computed properties:
As for the space-group type: Amm2 (38). The calculation puts the density of states at the Fermi level at 3.7 states/eV/cell. The volume comes out at 85 Å³ per cell. Its calculated total energy is -65.426 eV/cell.

=====

VASP calculation (PBE-GGA) on Os2Ru3 after structural relaxation.

a b c (Å): 4.195 4.195 5.250
angles (deg): 90.00 90.00 120.00
Fractional coordinates of all 5 atoms:
1 Os 0.333 0.667 0.356
2 Os 0.667 0.333 0.644
3 Ru 0.000 0.000 0.500
4 Ru 0.333 0.667 0.867
5 Ru 0.667 0.333 0.133

Computed properties:
As for the space-group type: P-3m1 (164). The calculation puts the density of states at the Fermi level at 8.6 states/eV/cell. The volume comes out at 80 Å³ per cell. Its calculated total energy is -46.574 eV/cell.

=====

VASP calculation (PBE-GGA) on Os3Ru after structural relaxation.

a b c (Å): 5.512 5.512 4.314
angles (deg): 90.00 90.00 120.03
Fractional coordinates of all 8 atoms:
1 Os 0.084 0.916 0.750
2 Os 0.086 0.419 0.750
3 Os 0.419 0.086 0.250
4 Os 0.581 0.914 0.750
5 Os 0.914 0.581 0.250
6 Os 0.916 0.084 0.250
7 Ru 0.417 0.583 0.250
8 Ru 0.583 0.417 0.750

Computed properties:
As for the space-group type: Cmcm (63). The calculation puts the density of states at the Fermi level at 6.2 states/eV/cell. The volume comes out at 113 Å³ per cell. Its calculated total energy is -85.969 eV/cell.

=====

VASP calculation (PBE-GGA) on OsRu5 after structural relaxation.

a b c (Å): 2.710 2.710 11.455
angles (deg): 90.00 90.00 90.00
Fractional coordinates of all 6 atoms:
1 Os 0.000 0.000 0.000
2 Ru 0.000 0.000 0.334
3 Ru 0.000 0.000 0.666
4 Ru 0.500 0.500 0.166
5 Ru 0.500 0.500 0.500
6 Ru 0.500 0.500 0.834

Computed properties:
As for the space-group type: P4/mmm (123). The calculation puts the density of states at the Fermi level at 6.6 states/eV/cell. The volume comes out at 84 Å³ per cell. Its calculated total energy is -56.916 eV/cell.

=====

VASP calculation (PBE-GGA) on Os5Ru after structural relaxation.

a b c (Å): 5.138 5.138 6.445
angles (deg): 103.07 103.07 31.05
Fractional coordinates of all 6 atoms:
1 Os 0.000 0.000 0.000
2 Os 0.055 0.055 0.611
3 Os 0.333 0.333 0.666
4 Os 0.665 0.665 0.333
5 Os 0.722 0.722 0.944
6 Ru 0.388 0.388 0.277

Computed properties:
As for the space-group type: Cm (8). The calculation puts the density of states at the Fermi level at 3.8 states/eV/cell. The volume comes out at 85 Å³ per cell. Its calculated total energy is -65.438 eV/cell.

=====

VASP calculation (PBE-GGA) on Os2Ru3 after structural relaxation.

a b c (Å): 7.843 7.843 7.843
angles (deg): 26.39 26.39 26.39
Fractional coordinates of all 5 atoms:
1 Os 0.097 0.097 0.097
2 Os 0.903 0.903 0.903
3 Ru 0.290 0.290 0.290
4 Ru 0.500 0.500 0.500
5 Ru 0.710 0.710 0.710

Computed properties:
As for the space-group type: R-3m (166). The calculation puts the density of states at the Fermi level at 5.0 states/eV/cell. The volume comes out at 84 Å³ per cell. Its calculated total energy is -44.192 eV/cell.

=====

VASP calculation (PBE-GGA) on Os3Ru after structural relaxation.

a b c (Å): 4.707 4.707 2.722
angles (deg): 90.00 90.00 109.25
Fractional coordinates of all 4 atoms:
1 Os 0.000 0.000 0.000
2 Os 0.000 0.500 0.500
3 Os 0.500 0.000 0.500
4 Ru 0.500 0.500 0.000

Computed properties:
As for the space-group type: Cmmm (65). The calculation puts the density of states at the Fermi level at 3.5 states/eV/cell. The volume comes out at 57 Å³ per cell. Its calculated total energy is -42.470 eV/cell.

=====

VASP calculation (PBE-GGA) on Os2Ru3 after structural relaxation.

a b c (Å): 6.326 6.326 7.537
angles (deg): 125.66 125.66 42.50
Fractional coordinates of all 10 atoms:
1 Os 0.160 0.743 0.862
2 Os 0.257 0.840 0.638
3 Os 0.743 0.160 0.362
4 Os 0.840 0.257 0.138
5 Ru 0.210 0.246 0.070
6 Ru 0.246 0.210 0.570
7 Ru 0.299 0.701 0.250
8 Ru 0.701 0.299 0.750
9 Ru 0.754 0.790 0.430
10 Ru 0.790 0.754 0.930

Computed properties:
As for the space-group type: C2/c (15). The calculation puts the density of states at the Fermi level at 10.5 states/eV/cell. The volume comes out at 159 Å³ per cell. Its calculated total energy is -93.744 eV/cell.

=====

VASP calculation (PBE-GGA) on Os3Ru2 after structural relaxation.

a b c (Å): 6.992 5.190 8.036
angles (deg): 59.27 39.65 81.08
Fractional coordinates of all 10 atoms:
1 Os 0.000 0.000 0.000
2 Os 0.250 0.250 0.250
3 Os 0.420 0.533 0.383
4 Os 0.533 0.420 0.663
5 Os 0.587 0.867 0.717
6 Os 0.867 0.587 0.830
7 Ru 0.129 0.782 0.278
8 Ru 0.440 0.972 0.468
9 Ru 0.782 0.129 0.810
10 Ru 0.972 0.440 0.121

Computed properties:
As for the space-group type: Fdd2 (43). The calculation puts the density of states at the Fermi level at 8.6 states/eV/cell. The volume comes out at 144 Å³ per cell. Its calculated total energy is -102.121 eV/cell.

=====

VASP calculation (PBE-GGA) on OsRu5 after structural relaxation.

a b c (Å): 4.316 7.232 7.232
angles (deg): 21.75 90.00 90.00
Fractional coordinates of all 6 atoms:
1 Os 0.000 0.000 0.000
2 Ru 0.000 0.333 0.333
3 Ru 0.000 0.666 0.666
4 Ru 0.500 0.111 0.111
5 Ru 0.500 0.444 0.444
6 Ru 0.500 0.777 0.777

Computed properties:
As for the space-group type: Amm2 (38). The calculation puts the density of states at the Fermi level at 4.2 states/eV/cell. The volume comes out at 84 Å³ per cell. Its calculated total energy is -57.636 eV/cell.

=====

VASP calculation (PBE-GGA) on Os5Ru after structural relaxation.

a b c (Å): 2.728 2.728 11.514
angles (deg): 90.00 90.00 90.00
Fractional coordinates of all 6 atoms:
1 Os 0.000 0.000 0.000
2 Os 0.000 0.000 0.334
3 Os 0.000 0.000 0.666
4 Os 0.500 0.500 0.168
5 Os 0.500 0.500 0.832
6 Ru 0.500 0.500 0.500

Computed properties:
As for the space-group type: P4/mmm (123). The calculation puts the density of states at the Fermi level at 5.3 states/eV/cell. The volume comes out at 86 Å³ per cell. Its calculated total energy is -64.631 eV/cell.

=====

VASP calculation (PBE-GGA) on Os3Ru5 after structural relaxation.

a b c (Å): 2.735 4.331 9.476
angles (deg): 90.00 90.00 90.00
Fractional coordinates of all 8 atoms:
1 Os 0.000 0.000 0.000
2 Os 0.000 0.500 0.167
3 Os 0.500 0.000 0.252
4 Ru 0.000 0.000 0.501
5 Ru 0.000 0.500 0.667
6 Ru 0.500 0.000 0.751
7 Ru 0.500 0.500 0.419
8 Ru 0.500 0.500 0.917

Computed properties:
As for the space-group type: Pmm2 (25). The calculation puts the density of states at the Fermi level at 6.2 states/eV/cell. The volume comes out at 112 Å³ per cell. Its calculated total energy is -80.083 eV/cell.

=====

VASP calculation (PBE-GGA) on OsRu5 after structural relaxation.

a b c (Å): 4.964 4.964 4.368
angles (deg): 90.00 90.00 120.00
Fractional coordinates of all 6 atoms:
1 Os 0.000 0.000 0.000
2 Ru 0.000 0.500 0.500
3 Ru 0.333 0.667 0.000
4 Ru 0.500 0.000 0.500
5 Ru 0.500 0.500 0.500
6 Ru 0.667 0.333 0.000

Computed properties:
As for the space-group type: P6/mmm (191). The calculation puts the density of states at the Fermi level at 11.9 states/eV/cell. The volume comes out at 93 Å³ per cell. Its calculated total energy is -51.866 eV/cell.

=====

VASP calculation (PBE-GGA) on Os5Ru after structural relaxation.

a b c (Å): 5.038 5.038 4.469
angles (deg): 90.00 90.00 120.00
Fractional coordinates of all 6 atoms:
1 Os 0.000 0.500 0.000
2 Os 0.333 0.667 0.500
3 Os 0.500 0.000 0.000
4 Os 0.500 0.500 0.000
5 Os 0.667 0.333 0.500
6 Ru 0.000 0.000 0.500

Computed properties:
As for the space-group type: P6/mmm (191). The calculation puts the density of states at the Fermi level at 9.1 states/eV/cell. The volume comes out at 98 Å³ per cell. Its calculated total energy is -59.206 eV/cell.

=====

VASP calculation (PBE-GGA) on Os3Ru after structural relaxation.

a b c (Å): 2.725 2.725 7.673
angles (deg): 90.00 90.00 90.00
Fractional coordinates of all 4 atoms:
1 Os 0.000 0.000 0.000
2 Os 0.500 0.500 0.250
3 Os 0.500 0.500 0.750
4 Ru 0.000 0.000 0.500

Computed properties:
As for the space-group type: P4/mmm (123). The calculation puts the density of states at the Fermi level at 3.8 states/eV/cell. The volume comes out at 57 Å³ per cell. Its calculated total energy is -42.449 eV/cell.

=====

VASP calculation (PBE-GGA) on Os5Ru after structural relaxation.

a b c (Å): 6.069 6.069 3.870
angles (deg): 90.00 90.00 143.08
Fractional coordinates of all 6 atoms:
1 Os 0.000 0.000 0.000
2 Os 0.167 0.833 0.500
3 Os 0.333 0.667 0.000
4 Os 0.667 0.333 0.000
5 Os 0.833 0.167 0.500
6 Ru 0.500 0.500 0.500

Computed properties:
As for the space-group type: Cmmm (65). The calculation puts the density of states at the Fermi level at 5.2 states/eV/cell. The volume comes out at 86 Å³ per cell. Its calculated total energy is -64.643 eV/cell.

=====

VASP calculation (PBE-GGA) on Os8Ru after structural relaxation.

a b c (Å): 6.092 6.092 6.092
angles (deg): 95.73 95.73 143.16
Fractional coordinates of all 9 atoms:
1 Os 0.000 0.334 0.334
2 Os 0.000 0.666 0.666
3 Os 0.333 0.333 0.666
4 Os 0.333 0.667 0.000
5 Os 0.334 0.000 0.334
6 Os 0.666 0.000 0.666
7 Os 0.667 0.333 0.000
8 Os 0.667 0.667 0.334
9 Ru 0.000 0.000 0.000

Computed properties:
As for the space-group type: I4/mmm (139). The calculation puts the density of states at the Fermi level at 8.4 states/eV/cell. The volume comes out at 129 Å³ per cell. Its calculated total energy is -97.951 eV/cell.

=====

VASP calculation (PBE-GGA) on OsRu5 after structural relaxation.

a b c (Å): 6.040 6.040 3.834
angles (deg): 90.00 90.00 143.06
Fractional coordinates of all 6 atoms:
1 Os 0.000 0.000 0.000
2 Ru 0.166 0.834 0.500
3 Ru 0.334 0.666 0.000
4 Ru 0.500 0.500 0.500
5 Ru 0.666 0.334 0.000
6 Ru 0.834 0.166 0.500

Computed properties:
As for the space-group type: Cmmm (65). The calculation puts the density of states at the Fermi level at 7.2 states/eV/cell. The volume comes out at 84 Å³ per cell. Its calculated total energy is -56.914 eV/cell.

=====

VASP calculation (PBE-GGA) on Os4Ru after structural relaxation.

a b c (Å): 6.752 6.752 2.713
angles (deg): 90.00 90.00 143.94
Fractional coordinates of all 5 atoms:
1 Os 0.110 0.890 0.000
2 Os 0.301 0.699 0.500
3 Os 0.699 0.301 0.500
4 Os 0.890 0.110 0.000
5 Ru 0.500 0.500 0.500

Computed properties:
As for the space-group type: Cmmm (65). The calculation puts the density of states at the Fermi level at 4.2 states/eV/cell. The volume comes out at 73 Å³ per cell. Its calculated total energy is -52.750 eV/cell.

=====

VASP calculation (PBE-GGA) on OsRu5 after structural relaxation.

a b c (Å): 5.109 5.109 6.404
angles (deg): 103.14 103.14 31.00
Fractional coordinates of all 6 atoms:
1 Os 0.000 0.000 0.000
2 Ru 0.056 0.056 0.611
3 Ru 0.334 0.334 0.668
4 Ru 0.390 0.390 0.278
5 Ru 0.667 0.667 0.334
6 Ru 0.722 0.722 0.945

Computed properties:
As for the space-group type: Cm (8). The calculation puts the density of states at the Fermi level at 4.4 states/eV/cell. The volume comes out at 84 Å³ per cell. Its calculated total energy is -57.643 eV/cell.

=====

VASP calculation (PBE-GGA) on Os2Ru5 after structural relaxation.

a b c (Å): 6.413 6.413 6.968
angles (deg): 94.86 94.86 43.31
Fractional coordinates of all 14 atoms:
1 Os 0.095 0.762 0.893
2 Os 0.238 0.905 0.607
3 Os 0.762 0.095 0.393
4 Os 0.905 0.238 0.107
5 Ru 0.049 0.381 0.821
6 Ru 0.191 0.525 0.536
7 Ru 0.333 0.667 0.250
8 Ru 0.381 0.049 0.321
9 Ru 0.475 0.809 0.964
10 Ru 0.525 0.191 0.036
11 Ru 0.619 0.951 0.679
12 Ru 0.667 0.333 0.750
13 Ru 0.809 0.475 0.464
14 Ru 0.951 0.619 0.179

Computed properties:
As for the space-group type: C2/c (15). The calculation puts the density of states at the Fermi level at 9.1 states/eV/cell. The volume comes out at 196 Å³ per cell. Its calculated total energy is -137.816 eV/cell.

=====

VASP calculation (PBE-GGA) on Os3Ru after structural relaxation.

a b c (Å): 9.014 9.014 9.014
angles (deg): 17.38 17.38 17.38
Fractional coordinates of all 4 atoms:
1 Os 0.000 0.000 0.000
2 Os 0.250 0.250 0.250
3 Os 0.750 0.750 0.750
4 Ru 0.500 0.500 0.500

Computed properties:
As for the space-group type: R-3m (166). The calculation puts the density of states at the Fermi level at 5.0 states/eV/cell. The volume comes out at 57 Å³ per cell. Its calculated total energy is -42.374 eV/cell.

=====

VASP calculation (PBE-GGA) on Os5Ru after structural relaxation.

a b c (Å): 4.758 4.758 4.347
angles (deg): 90.00 90.00 120.00
Fractional coordinates of all 6 atoms:
1 Os 0.000 0.667 0.000
2 Os 0.333 0.333 0.000
3 Os 0.333 0.667 0.500
4 Os 0.667 0.000 0.000
5 Os 0.667 0.333 0.500
6 Ru 0.000 0.000 0.500

Computed properties:
As for the space-group type: P-62m (189). The calculation puts the density of states at the Fermi level at 4.9 states/eV/cell. The volume comes out at 85 Å³ per cell. Its calculated total energy is -65.507 eV/cell.

=====

VASP calculation (PBE-GGA) on Os3Ru after structural relaxation.

a b c (Å): 5.132 5.132 4.759
angles (deg): 117.55 117.55 31.07
Fractional coordinates of all 4 atoms:
1 Os 0.000 0.000 0.000
2 Os 0.251 0.251 0.918
3 Os 0.502 0.502 0.502
4 Ru 0.751 0.751 0.417

Computed properties:
As for the space-group type: Cm (8). The calculation puts the density of states at the Fermi level at 2.8 states/eV/cell. The volume comes out at 57 Å³ per cell. Its calculated total energy is -42.964 eV/cell.

=====

VASP calculation (PBE-GGA) on Os4Ru after structural relaxation.

a b c (Å): 4.568 4.568 4.568
angles (deg): 90.00 90.00 90.00
Fractional coordinates of all 5 atoms:
1 Os 0.000 0.000 0.000
2 Os 0.000 0.500 0.500
3 Os 0.500 0.000 0.500
4 Os 0.500 0.500 0.000
5 Ru 0.500 0.500 0.500

Computed properties:
As for the space-group type: Pm-3m (221). The calculation puts the density of states at the Fermi level at 10.7 states/eV/cell. The volume comes out at 95 Å³ per cell. Its calculated total energy is -40.214 eV/cell.